# Er7Hg2Rh2 | Alexandria via LeMat-Bulk | PBE | relaxed
# calculated total energy	-51.98	eV per cell
# density	9.74	g/cm³
# formation energy	-0.43	eV/atom
data_Er7Hg2Rh2
_chemical_formula_sum 'Er7 Hg2 Rh2'
_symmetry_space_group_name_H-M 'P 1'
_symmetry_Int_Tables_number 1
_cell_length_a 6.701
_cell_length_b 6.701
_cell_length_c 7.077
_cell_angle_alpha 90.00
_cell_angle_beta 90.00
_cell_angle_gamma 107.46
loop_
_symmetry_equiv_pos_as_xyz
'x,y,z'
loop_
_atom_site_label
_atom_site_type_symbol
_atom_site_fract_x
_atom_site_fract_y
_atom_site_fract_z
Er1 Er 0.000 0.000 0.000
Er2 Er 0.000 0.500 0.252
Er3 Er 0.000 0.500 0.748
Er4 Er 0.500 0.000 0.252
Er5 Er 0.500 0.000 0.748
Er6 Er 0.500 0.500 0.245
Er7 Er 0.500 0.500 0.755
Hg1 Hg 0.186 0.186 0.500
Hg2 Hg 0.814 0.814 0.500
Rh1 Rh 0.289 0.711 0.000
Rh2 Rh 0.711 0.289 0.000

# SrLaGa | Alexandria via LeMat-Bulk | PBE | relaxed
# calculated total energy	-21.03	eV per cell
# density	4.67	g/cm³
# energy above the lowest structure with this stoichiometry	76	meV per atom
# formation energy	-0.29	eV/atom
data_SrLaGa
_chemical_formula_sum 'Sr2 La2 Ga2'
_symmetry_space_group_name_H-M 'P 1'
_symmetry_Int_Tables_number 1
_cell_length_a 8.836
_cell_length_b 8.836
_cell_length_c 5.108
_cell_angle_alpha 106.76
_cell_angle_beta 106.76
_cell_angle_gamma 33.60
loop_
_symmetry_equiv_pos_as_xyz
'x,y,z'
loop_
_atom_site_label
_atom_site_type_symbol
_atom_site_fract_x
_atom_site_fract_y
_atom_site_fract_z
Sr1 Sr 0.184 0.184 0.184
Sr2 Sr 0.816 0.816 0.816
La1 La 0.000 0.000 0.500
La2 La 0.500 0.500 0.000
Ga1 Ga 0.384 0.383 0.384
Ga2 Ga 0.617 0.616 0.616

# NdSmMgZr | Alexandria via LeMat-Bulk | PBE | relaxed
# calculated total energy	-19.11	eV per cell
# density	5.99	g/cm³
# formation energy	0.13	eV/atom
data_NdSmMgZr
_chemical_formula_sum 'Nd1 Sm1 Mg1 Zr1'
_symmetry_space_group_name_H-M 'P 1'
_symmetry_Int_Tables_number 1
_cell_length_a 5.437
_cell_length_b 5.437
_cell_length_c 5.437
_cell_angle_alpha 60.00
_cell_angle_beta 60.00
_cell_angle_gamma 60.00
loop_
_symmetry_equiv_pos_as_xyz
'x,y,z'
loop_
_atom_site_label
_atom_site_type_symbol
_atom_site_fract_x
_atom_site_fract_y
_atom_site_fract_z
Nd1 Nd 0.000 0.000 0.000
Sm1 Sm 0.500 0.500 0.500
Mg1 Mg 0.750 0.750 0.750
Zr1 Zr 0.250 0.250 0.250

# Ac2BeSi4Pt3 | Alexandria via LeMat-Bulk | PBE | relaxed
# calculated total energy	-60.72	eV per cell
# density	10.17	g/cm³
data_Ac2BeSi4Pt3
_chemical_formula_sum 'Ac2 Be1 Si4 Pt3'
_symmetry_space_group_name_H-M 'P 1'
_symmetry_Int_Tables_number 1
_cell_length_a 4.340
_cell_length_b 4.340
_cell_length_c 10.068
_cell_angle_alpha 90.00
_cell_angle_beta 90.00
_cell_angle_gamma 90.00
loop_
_symmetry_equiv_pos_as_xyz
'x,y,z'
loop_
_atom_site_label
_atom_site_type_symbol
_atom_site_fract_x
_atom_site_fract_y
_atom_site_fract_z
Ac1 Ac 0.000 0.500 0.248
Ac2 Ac 0.500 0.000 0.752
Be1 Be 0.500 0.500 0.000
Si1 Si 0.000 0.000 0.500
Si2 Si 0.000 0.500 0.875
Si3 Si 0.500 0.000 0.125
Si4 Si 0.500 0.500 0.500
Pt1 Pt 0.000 0.000 0.000
Pt2 Pt 0.000 0.500 0.619
Pt3 Pt 0.500 0.000 0.381

# Ac6WS12 | Alexandria via LeMat-Bulk | PBE | relaxed
# calculated total energy	-120.23	eV per cell
# density	5.80	g/cm³
data_Ac6WS12
_chemical_formula_sum 'Ac6 W1 S12'
_symmetry_space_group_name_H-M 'P 1'
_symmetry_Int_Tables_number 1
_cell_length_a 8.299
_cell_length_b 8.299
_cell_length_c 8.299
_cell_angle_alpha 98.12
_cell_angle_beta 98.12
_cell_angle_gamma 98.12
loop_
_symmetry_equiv_pos_as_xyz
'x,y,z'
loop_
_atom_site_label
_atom_site_type_symbol
_atom_site_fract_x
_atom_site_fract_y
_atom_site_fract_z
Ac1 Ac 0.127 0.806 0.641
Ac2 Ac 0.194 0.359 0.873
Ac3 Ac 0.359 0.873 0.194
Ac4 Ac 0.641 0.127 0.806
Ac5 Ac 0.806 0.641 0.127
Ac6 Ac 0.873 0.194 0.359
W1 W 0.500 0.500 0.500
S1 S 0.060 0.912 0.322
S2 S 0.088 0.678 0.940
S3 S 0.208 0.440 0.519
S4 S 0.322 0.060 0.912
S5 S 0.440 0.519 0.208
S6 S 0.481 0.792 0.560
S7 S 0.519 0.208 0.440
S8 S 0.560 0.481 0.792
S9 S 0.678 0.940 0.088
S10 S 0.792 0.560 0.481
S11 S 0.912 0.322 0.060
S12 S 0.940 0.088 0.678

# PRh2W | Alexandria via LeMat-Bulk | PBE | relaxed
# calculated total energy	-34.13	eV per cell
# density	12.58	g/cm³
# formation energy	-0.27	eV/atom
data_PRh2W
_chemical_formula_sum 'P1 Rh2 W1'
_symmetry_space_group_name_H-M 'P 1'
_symmetry_Int_Tables_number 1
_cell_length_a 5.047
_cell_length_b 5.047
_cell_length_c 5.047
_cell_angle_alpha 145.20
_cell_angle_beta 130.06
_cell_angle_gamma 62.30
loop_
_symmetry_equiv_pos_as_xyz
'x,y,z'
loop_
_atom_site_label
_atom_site_type_symbol
_atom_site_fract_x
_atom_site_fract_y
_atom_site_fract_z
P1 P 0.000 0.000 0.000
Rh1 Rh 0.216 0.716 0.500
Rh2 Rh 0.784 0.284 0.500
W1 W 0.500 0.500 0.000

# Ti5Si2Pb2 | Alexandria via LeMat-Bulk | PBE | relaxed
# calculated total energy	-123.05	eV per cell
# density	7.19	g/cm³
data_Ti5Si2Pb2
_chemical_formula_sum 'Ti10 Si4 Pb4'
_symmetry_space_group_name_H-M 'P 1'
_symmetry_Int_Tables_number 1
_cell_length_a 7.781
_cell_length_b 7.781
_cell_length_c 6.804
_cell_angle_alpha 90.00
_cell_angle_beta 90.00
_cell_angle_gamma 52.77
loop_
_symmetry_equiv_pos_as_xyz
'x,y,z'
loop_
_atom_site_label
_atom_site_type_symbol
_atom_site_fract_x
_atom_site_fract_y
_atom_site_fract_z
Ti1 Ti 0.000 0.000 0.000
Ti2 Ti 0.054 0.718 0.672
Ti3 Ti 0.218 0.554 0.172
Ti4 Ti 0.282 0.946 0.672
Ti5 Ti 0.446 0.782 0.172
Ti6 Ti 0.500 0.500 0.500
Ti7 Ti 0.554 0.218 0.828
Ti8 Ti 0.718 0.054 0.328
Ti9 Ti 0.782 0.446 0.828
Ti10 Ti 0.946 0.282 0.328
Si1 Si 0.127 0.873 0.373
Si2 Si 0.373 0.627 0.873
Si3 Si 0.627 0.373 0.127
Si4 Si 0.873 0.127 0.627
Pb1 Pb 0.219 0.219 0.000
Pb2 Pb 0.281 0.281 0.500
Pb3 Pb 0.719 0.719 0.500
Pb4 Pb 0.781 0.781 0.000

# KSc2Cu | Alexandria via LeMat-Bulk | PBE | relaxed
# calculated total energy	-16.49	eV per cell
# density	2.96	g/cm³
# energy above the lowest structure with this stoichiometry	154	meV per atom
# formation energy	0.34	eV/atom
data_KSc2Cu
_chemical_formula_sum 'K1 Sc2 Cu1'
_symmetry_space_group_name_H-M 'P 1'
_symmetry_Int_Tables_number 1
_cell_length_a 10.787
_cell_length_b 10.787
_cell_length_c 10.787
_cell_angle_alpha 18.29
_cell_angle_beta 18.29
_cell_angle_gamma 18.29
loop_
_symmetry_equiv_pos_as_xyz
'x,y,z'
loop_
_atom_site_label
_atom_site_type_symbol
_atom_site_fract_x
_atom_site_fract_y
_atom_site_fract_z
K1 K 0.000 0.000 0.000
Sc1 Sc 0.523 0.523 0.523
Sc2 Sc 0.777 0.777 0.777
Cu1 Cu 0.248 0.248 0.248

# In4HgPbS8 | Alexandria via LeMat-Bulk | PBE | relaxed
# calculated total energy	-54.11	eV per cell
# density	5.29	g/cm³
data_In4HgPbS8
_chemical_formula_sum 'In4 Hg1 Pb1 S8'
_symmetry_space_group_name_H-M 'P 1'
_symmetry_Int_Tables_number 1
_cell_length_a 7.935
_cell_length_b 7.935
_cell_length_c 7.935
_cell_angle_alpha 59.95
_cell_angle_beta 59.95
_cell_angle_gamma 59.95
loop_
_symmetry_equiv_pos_as_xyz
'x,y,z'
loop_
_atom_site_label
_atom_site_type_symbol
_atom_site_fract_x
_atom_site_fract_y
_atom_site_fract_z
In1 In 0.000 0.000 0.000
In2 In 0.385 0.385 0.875
In3 In 0.385 0.875 0.385
In4 In 0.875 0.385 0.385
Hg1 Hg 0.760 0.760 0.760
Pb1 Pb 0.384 0.384 0.384
S1 S 0.127 0.127 0.610
S2 S 0.127 0.610 0.127
S3 S 0.137 0.137 0.137
S4 S 0.159 0.636 0.636
S5 S 0.610 0.127 0.127
S6 S 0.625 0.625 0.625
S7 S 0.636 0.159 0.636
S8 S 0.636 0.636 0.159

# MnReCl | Alexandria via LeMat-Bulk | PBE | relaxed
# calculated total energy	-21.07	eV per cell
# density	10.47	g/cm³
# energy above the lowest structure with this stoichiometry	398	meV per atom
data_MnReCl
_chemical_formula_sum 'Mn1 Re1 Cl1'
_symmetry_space_group_name_H-M 'P 1'
_symmetry_Int_Tables_number 1
_cell_length_a 4.199
_cell_length_b 4.199
_cell_length_c 2.872
_cell_angle_alpha 90.00
_cell_angle_beta 90.00
_cell_angle_gamma 120.00
loop_
_symmetry_equiv_pos_as_xyz
'x,y,z'
loop_
_atom_site_label
_atom_site_type_symbol
_atom_site_fract_x
_atom_site_fract_y
_atom_site_fract_z
Mn1 Mn 0.000 0.000 0.000
Re1 Re 0.333 0.667 0.500
Cl1 Cl 0.667 0.333 0.500

# TaBiP3 | Alexandria via LeMat-Bulk | PBE | relaxed
# calculated total energy	-30.21	eV per cell
# density	6.99	g/cm³
# energy above the lowest structure with this stoichiometry	0	meV per atom
# formation energy	0.35	eV/atom
data_TaBiP3
_chemical_formula_sum 'Ta1 Bi1 P3'
_symmetry_space_group_name_H-M 'P 1'
_symmetry_Int_Tables_number 1
_cell_length_a 4.858
_cell_length_b 4.858
_cell_length_c 4.858
_cell_angle_alpha 90.00
_cell_angle_beta 90.00
_cell_angle_gamma 90.00
loop_
_symmetry_equiv_pos_as_xyz
'x,y,z'
loop_
_atom_site_label
_atom_site_type_symbol
_atom_site_fract_x
_atom_site_fract_y
_atom_site_fract_z
Ta1 Ta 0.000 0.000 0.000
Bi1 Bi 0.500 0.500 0.500
P1 P 0.000 0.000 0.500
P2 P 0.000 0.500 0.000
P3 P 0.500 0.000 0.000

# NdInBr2 | Alexandria via LeMat-Bulk | PBE | relaxed
# calculated total energy	-13.74	eV per cell
# density	4.72	g/cm³
data_NdInBr2
_chemical_formula_sum 'Nd1 In1 Br2'
_symmetry_space_group_name_H-M 'P 1'
_symmetry_Int_Tables_number 1
_cell_length_a 10.569
_cell_length_b 10.569
_cell_length_c 10.569
_cell_angle_alpha 22.16
_cell_angle_beta 22.16
_cell_angle_gamma 22.16
loop_
_symmetry_equiv_pos_as_xyz
'x,y,z'
loop_
_atom_site_label
_atom_site_type_symbol
_atom_site_fract_x
_atom_site_fract_y
_atom_site_fract_z
Nd1 Nd 0.000 0.000 0.000
In1 In 0.500 0.500 0.500
Br1 Br 0.092 0.092 0.092
Br2 Br 0.908 0.908 0.908